i) Computed, not measured: a relaxed structure of NaSrLuTe3 at the PBE level of DFT.

Calculated values
The value obtained for the total moment is 0.002 μB per formula unit. Its space-group type is P2_1/m (11).

Cell: 8.4399 4.4740 10.8140 Å, 90.00 107.49 90.00°
Fractional positions:
Lu 0.6916 0.2500 0.1549
Lu 0.3084 0.7500 0.8451
Na 0.9094 0.7500 0.4114
Na 0.0906 0.2500 0.5886
Sr 0.2652 0.2500 0.2926
Sr 0.7348 0.7500 0.7074
Te 0.4361 0.7500 0.1369
Te 0.9358 0.7500 0.1478
Te 0.7019 0.2500 0.4558
Te 0.2981 0.7500 0.5442
Te 0.0642 0.2500 0.8522
Te 0.5639 0.2500 0.8631

---

ii) Computed, not measured: a relaxed structure of NaSrLuTe3 at the PBE level of DFT.

Calculated values
The value obtained for the total moment is 0.002 μB per formula unit. Its space-group type is C2/m (12).

Cell: 9.7598 9.7598 9.6915 Å, 104.02 104.02 26.06°
Fractional positions:
Lu 0.8344 0.8344 0.4164
Lu 0.1656 0.1656 0.5836
Na 0.4928 0.4928 0.2945
Na 0.5072 0.5072 0.7055
Sr 0.1359 0.1359 0.0663
Sr 0.8641 0.8641 0.9337
Te 0.5000 0.5000 0.0000
Te 0.3191 0.3191 0.1890
Te 0.6700 0.6700 0.3635
Te 0.0000 0.0000 0.5000
Te 0.3300 0.3300 0.6365
Te 0.6809 0.6809 0.8110

---

Preferred: ii); penalty for the next structure: 72 meV/atom.

---

i) Computed, not measured: a relaxed structure of NaLuZnTe3 at the PBE level of DFT.

Calculated values
The value obtained for the total moment is 0.002 μB per formula unit. Its space-group type is Cmcm (63).

Cell: 4.2614 7.6770 11.4540 Å, 90.00 90.00 73.89°
Fractional positions:
Lu 0.0000 0.0000 0.0000
Lu 0.0000 0.0000 0.5000
Na 0.2364 0.5273 0.2500
Na 0.7636 0.4727 0.7500
Te 0.6376 0.7249 0.0630
Te 0.9171 0.1658 0.2500
Te 0.6376 0.7249 0.4370
Te 0.3624 0.2751 0.5630
Te 0.0829 0.8342 0.7500
Te 0.3624 0.2751 0.9370
Zn 0.5317 0.9367 0.2500
Zn 0.4683 0.0633 0.7500

---

ii) Computed, not measured: a relaxed structure of NaLuZnTe3 at the PBE level of DFT.

Calculated values
The value obtained for the total moment is 0.004 μB per formula unit. Its space-group type is C2/m (12).

Cell: 10.3416 10.3416 8.6719 Å, 101.98 101.98 23.83°
Fractional positions:
Lu 0.1739 0.1739 0.0758
Lu 0.8261 0.8261 0.9242
Na 0.8791 0.8791 0.4345
Na 0.1209 0.1209 0.5655
Te 0.0000 0.0000 0.0000
Te 0.3247 0.3247 0.1634
Te 0.6713 0.6713 0.3192
Te 0.5000 0.5000 0.5000
Te 0.3287 0.3287 0.6808
Te 0.6753 0.6753 0.8366
Zn 0.5392 0.5392 0.2236
Zn 0.4608 0.4608 0.7764

---

iii) Computed, not measured: a relaxed structure of NaLuZnTe3 at the PBE level of DFT.

Calculated values
The value obtained for the total moment is 0.004 μB per formula unit. Its space-group type is P2_1/m (11).

Cell: 8.7236 4.2648 10.4122 Å, 90.00 105.89 90.00°
Fractional positions:
Lu 0.3227 0.7500 0.3555
Lu 0.6773 0.2500 0.6445
Na 0.7784 0.7500 0.2411
Na 0.2216 0.2500 0.7589
Te 0.2386 0.7500 0.0392
Te 0.5635 0.2500 0.3446
Te 0.0748 0.2500 0.3535
Te 0.9252 0.7500 0.6465
Te 0.4365 0.7500 0.6554
Te 0.7614 0.2500 0.9608
Zn 0.0807 0.2500 0.1024
Zn 0.9193 0.7500 0.8976

---

iv) Computed, not measured: a relaxed structure of NaLuZnTe3 at the PBE level of DFT.

Calculated values
The value obtained for the total moment is 0.000 μB per formula unit. Its space-group type is Pnma (62).

Cell: 8.8017 4.4110 17.7829 Å, 90.00 90.00 90.00°
Fractional positions:
Lu 0.7577 0.2500 0.0469
Lu 0.2577 0.2500 0.4531
Lu 0.7423 0.7500 0.5469
Lu 0.2423 0.7500 0.9531
Na 0.0750 0.7500 0.2174
Na 0.5750 0.7500 0.2826
Na 0.4250 0.2500 0.7174
Na 0.9250 0.2500 0.7826
Te 0.1265 0.2500 0.0550
Te 0.5006 0.7500 0.0819
Te 0.8052 0.2500 0.2123
Te 0.3052 0.2500 0.2877
Te 0.0006 0.7500 0.4181
Te 0.6265 0.2500 0.4450
Te 0.3735 0.7500 0.5550
Te 0.9994 0.2500 0.5819
Te 0.6948 0.7500 0.7123
Te 0.1948 0.7500 0.7877
Te 0.4994 0.2500 0.9181
Te 0.8735 0.7500 0.9450
Zn 0.3745 0.2500 0.1458
Zn 0.8745 0.2500 0.3542
Zn 0.1255 0.7500 0.6458
Zn 0.6255 0.7500 0.8542

---

Preferred: i); penalty for the next structure: 8 meV/atom.

---

i) Computed, not measured: a relaxed structure of NaLuZnTe3 at the PBE level of DFT.

Calculated values
The value obtained for the total moment is 0.005 μB per formula unit. Its space-group type is Pnma (62).

Cell: 14.9614 4.2657 11.6520 Å, 90.00 90.00 90.00°
Fractional positions:
Lu 0.5156 0.7500 0.1563
Lu 0.0156 0.7500 0.3437
Lu 0.9844 0.2500 0.6563
Lu 0.4844 0.2500 0.8437
Na 0.2303 0.7500 0.0602
Na 0.7303 0.7500 0.4398
Na 0.2697 0.2500 0.5602
Na 0.7697 0.2500 0.9398
Te 0.3896 0.2500 0.0710
Te 0.9004 0.7500 0.1156
Te 0.1402 0.2500 0.2498
Te 0.6402 0.2500 0.2502
Te 0.4004 0.7500 0.3844
Te 0.8896 0.2500 0.4290
Te 0.1104 0.7500 0.5710
Te 0.5996 0.2500 0.6156
Te 0.3598 0.7500 0.7498
Te 0.8598 0.7500 0.7502
Te 0.0996 0.2500 0.8844
Te 0.6104 0.7500 0.9290
Zn 0.0121 0.2500 0.0948
Zn 0.5121 0.2500 0.4052
Zn 0.4879 0.7500 0.5948
Zn 0.9879 0.7500 0.9052

---

ii) Computed, not measured: a relaxed structure of NaLuZnTe3 at the PBE level of DFT.

Calculated values
The value obtained for the total moment is 0.003 μB per formula unit. Its space-group type is Pnma (62).

Cell: 11.4653 4.2599 14.7184 Å, 90.00 90.00 90.00°
Fractional positions:
Lu 0.0153 0.2500 0.2452
Lu 0.5153 0.2500 0.2548
Lu 0.4847 0.7500 0.7452
Lu 0.9847 0.7500 0.7548
Na 0.2737 0.2500 0.0136
Na 0.7737 0.2500 0.4864
Na 0.2263 0.7500 0.5136
Na 0.7263 0.7500 0.9864
Te 0.0793 0.7500 0.1084
Te 0.4525 0.7500 0.1167
Te 0.7633 0.2500 0.1668
Te 0.2633 0.2500 0.3332
Te 0.9525 0.7500 0.3833
Te 0.5793 0.7500 0.3916
Te 0.4207 0.2500 0.6084
Te 0.0475 0.2500 0.6167
Te 0.7367 0.7500 0.6668
Te 0.2367 0.7500 0.8332
Te 0.5475 0.2500 0.8833
Te 0.9207 0.2500 0.8916
Zn 0.2616 0.7500 0.2189
Zn 0.7616 0.7500 0.2811
Zn 0.2384 0.2500 0.7189
Zn 0.7384 0.2500 0.7811

---

Preferred: ii); penalty for the next structure: 8 meV/atom.

---

i) Computed, not measured: a relaxed structure of LuNb at the PBE level of DFT.

Calculated values
The value obtained for the total moment is 0.058 μB per formula unit. Its space-group type is P6_3/mmc (194).

Cell: 3.5922 3.5922 7.6124 Å, 90.00 90.00 120.00°
Fractional positions:
Lu 0.0000 0.0000 0.0000
Lu 0.0000 0.0000 0.5000
Nb 0.6667 0.3333 0.2500
Nb 0.3333 0.6667 0.7500

---

ii) Computed, not measured: a relaxed structure of LuNb at the PBE level of DFT.

Calculated values
The value obtained for the total moment is 0.616 μB per formula unit. Its space-group type is Fm-3m (225).

Cell: 4.1028 4.1028 4.1028 Å, 60.00 60.00 60.00°
Fractional positions:
Lu 0.0000 0.0000 0.0000
Nb 0.5000 0.5000 0.5000

---

Preferred: i); penalty for the next structure: 238 meV/atom.